(1)
A plane-wave DFT calculation with GGA-PBE was carried out for an optimized crystal structure of MgCd4Ag6.

Lattice parameters (Å, degrees): 4.795 4.711 22.071 90.00 90.00 120.59
Positions (direct):
Ag: 0.146 0.291 0.184
Ag: 0.146 0.291 0.316
Ag: 0.500 0.000 0.000
Ag: 0.826 0.653 0.096
Ag: 0.174 0.347 0.904
Ag: 0.854 0.709 0.816
Ag: 0.500 0.000 0.500
Ag: 0.854 0.709 0.684
Ag: 0.527 0.054 0.750
Ag: 0.174 0.347 0.596
Ag: 0.826 0.653 0.404
Ag: 0.473 0.946 0.250
Cd: 0.511 0.023 0.628
Cd: 0.163 0.325 0.456
Cd: 0.489 0.977 0.128
Cd: 0.511 0.023 0.872
Cd: 0.489 0.977 0.372
Cd: 0.837 0.675 0.544
Cd: 0.163 0.325 0.044
Cd: 0.837 0.675 0.956
Mg: 0.810 0.621 0.250
Mg: 0.190 0.379 0.750

## Properties
E_form, eV/f.u.: -0.431
Symmetry: No. 63
M_tot, μB/f.u.: 0.00

***

(2)
A plane-wave DFT calculation with GGA-PBE was carried out for an optimized crystal structure of Mg3CdAg4.

Lattice parameters (Å, degrees): 4.654 4.679 13.775 148.26 99.73 90.00
Positions (direct):
Ag: 0.629 0.144 0.257
Ag: 0.128 0.642 0.257
Ag: 0.872 0.358 0.743
Ag: 0.371 0.856 0.743
Cd: 0.500 0.000 0.000
Mg: 0.251 0.757 0.503
Mg: 0.000 0.500 0.000
Mg: 0.749 0.243 0.497

## Properties
E_form, eV/f.u.: -1.646
E above lowest polymorph, eV per atom: 0.000
Symmetry: No. 12
M_tot, μB/f.u.: 0.00

***

- The lowest E_form belongs to which entry?
  Mg3CdAg4

***

- Which of these has the highest E_form?
  MgCd4Ag6